A) Density functional theory data (PBE) for a geometry-optimized BaMo2Pt structure.

```
BaMo2Pt
1.0
-2.0141 4.4027 -1.9898
-3.4886 -0.7415 1.8905
1.3082 2.0536 3.2196
Ba Pt Mo
1 1 2
direct
0.5000 0.0000 0.5000 Ba
0.5000 0.5000 0.0000 Pt
0.0000 0.5000 0.5000 Mo
0.0000 0.0000 0.0000 Mo
```

As for the volume: 21.32 Å³/atom. Its total magnetization is 0.0 μB per formula unit.

=====

B) Density functional theory data (PBE) for a geometry-optimized BaMo2Pt structure.

```
BaMo2Pt
1.0
-2.3662 -2.1398 -3.8384
-2.8440 -4.0298 -0.7637
-5.6418 2.3127 0.5447
Mo Ba Pt
2 1 1
direct
0.0349 0.0349 0.8586 Mo
0.4651 0.4651 0.6414 Mo
0.2500 0.2500 0.2500 Ba
0.7500 0.7500 0.7500 Pt
```

As for the volume: 25.25 Å³/atom. Its total magnetization is 0.0 μB per formula unit.

=====

Which structure is most stable? B), by 635 meV/atom over the runner-up.

=====

A) Density functional theory data (PBE) for a geometry-optimized BaMo2Pt structure.

```
BaMo2Pt
1.0
-5.5850 -1.3554 1.0681
2.6501 -1.3486 -5.0327
0.8138 -2.4899 1.0957
Ba Pt Mo
1 1 2
direct
0.0000 0.5000 0.5000 Ba
0.5000 0.0000 0.5000 Pt
0.0000 0.0000 0.0000 Mo
0.5000 0.5000 0.0000 Mo
```

As for the volume: 20.46 Å³/atom. Its total magnetization is 0.0 μB per formula unit.

=====

B) Density functional theory data (PBE) for a geometry-optimized BaMo2Pt structure.

```
BaMo2Pt
1.0
-4.5882 -1.0737 -0.8801
0.0590 -3.1871 3.5802
-5.0306 4.6818 7.4597
Pt Mo Ba
2 4 2
direct
0.7500 0.2500 0.5000 Pt
0.0000 0.0000 0.0000 Pt
0.8750 0.1250 0.2500 Mo
0.3750 0.1250 0.7500 Mo
0.8750 0.6250 0.2500 Mo
0.8750 0.1250 0.7500 Mo
0.5000 0.5000 0.0000 Ba
0.2500 0.7500 0.5000 Ba
```

As for the volume: 27.46 Å³/atom. Its total magnetization is 0.0 μB per formula unit.

=====

C) Density functional theory data (PBE) for a geometry-optimized BaMo2Pt structure.

```
BaMo2Pt
1.0
-3.4478 1.3220 -3.1517
2.4738 -2.1273 -3.5949
-1.1821 -2.5390 3.9654
Mo Ba Pt
2 1 1
direct
0.0000 0.0000 0.0000 Mo
0.2500 0.7500 0.5000 Mo
0.7500 0.2500 0.5000 Ba
0.5000 0.5000 0.0000 Pt
```

As for the volume: 20.23 Å³/atom. Its total magnetization is 0.6 μB per formula unit.

=====

Which structure is most stable? B), by 142 meV/atom over the runner-up.